1.
Nd2SmDy5Ho | GGA-PBE | relaxed

a b c (Å): 8.6848 8.6848 9.9442
angles (deg): 115.89 115.89 90.00
Sites, in units of the cell vectors:
Sm: 0.7500 0.7500 0.5000
Sm: 0.2500 0.2500 0.5000
Nd: 0.1176 0.3824 0.0000
Nd: 0.6176 0.1176 0.0000
Nd: 0.8824 0.6176 0.0000
Nd: 0.3824 0.8824 0.0000
Ho: 0.2500 0.7500 0.5000
Ho: 0.7500 0.2500 0.5000
Dy: 0.6496 0.1496 0.7217
Dy: 0.8504 0.9279 0.2783
Dy: 0.3504 0.8504 0.2783
Dy: 0.0000 0.0000 0.0000
Dy: 0.5000 0.5000 0.0000
Dy: 0.1496 0.0721 0.7217
Dy: 0.0721 0.5721 0.7217
Dy: 0.4279 0.3504 0.2783
Dy: 0.9279 0.4279 0.2783
Dy: 0.5721 0.6496 0.7217

calculated formation energy	0.269	eV per atom
N(E_F)	22.1	states/eV per cell


2.
Nd6AgRh3 | GGA-PBE | relaxed

a b c (Å): 4.1805 12.0656 12.0539
angles (deg): 108.71 90.00 90.00
Sites, in units of the cell vectors:
Nd: 0.2500 0.5390 0.3985
Nd: 0.2500 0.2878 0.7372
Nd: 0.7500 0.1304 0.4590
Nd: 0.2500 0.0649 0.9014
Nd: 0.2500 0.8696 0.5410
Nd: 0.7500 0.7742 0.7658
Nd: 0.7500 0.4610 0.6015
Nd: 0.7500 0.3889 0.0481
Nd: 0.2500 0.2258 0.2342
Nd: 0.7500 0.7122 0.2628
Nd: 0.7500 0.9351 0.0986
Nd: 0.2500 0.6111 0.9519
Rh: 0.2500 0.8420 0.9293
Rh: 0.7500 0.1580 0.0707
Rh: 0.2500 0.5458 0.1669
Rh: 0.2500 0.3036 0.4937
Rh: 0.7500 0.4542 0.8331
Rh: 0.7500 0.6964 0.5063
Ag: 0.2500 0.9389 0.3017
Ag: 0.7500 0.0611 0.6983

ΔE to the lowest computed polymorph	0	meV per atom
calculated formation energy	-0.480	eV per atom
N(E_F)	14.0	states/eV per cell


3.
Li4Ac2InGe3 | GGA-PBE | relaxed

a b c (Å): 4.4841 4.4841 10.9533
angles (deg): 90.00 90.00 90.00
Sites, in units of the cell vectors:
Ge: 0.5000 0.0000 0.8734
Ge: 0.0000 0.5000 0.1266
Ge: 0.0000 0.0000 0.5000
Li: 0.5000 0.0000 0.6412
Li: 0.5000 0.5000 0.0000
Li: 0.0000 0.0000 0.0000
Li: 0.0000 0.5000 0.3588
Ac: 0.5000 0.0000 0.2302
Ac: 0.0000 0.5000 0.7698
In: 0.5000 0.5000 0.5000

calculated formation energy	-0.479	eV per atom
N(E_F)	4.7	states/eV per cell


4.
BeCd2Au3 | GGA-PBE | relaxed

a b c (Å): 5.5991 5.5991 7.8498
angles (deg): 90.00 90.00 120.00
Sites, in units of the cell vectors:
Be: 0.0000 0.0000 0.0000
Be: 0.0000 0.0000 0.5000
Au: 0.6682 0.8341 0.2500
Au: 0.8341 0.6682 0.7500
Au: 0.3318 0.1659 0.7500
Au: 0.8341 0.1659 0.7500
Au: 0.1659 0.3318 0.2500
Au: 0.1659 0.8341 0.2500
Cd: 0.3333 0.6667 0.9355
Cd: 0.6667 0.3333 0.0645
Cd: 0.6667 0.3333 0.4355
Cd: 0.3333 0.6667 0.5645

calculated formation energy	-0.107	eV per atom
N(E_F)	1.9	states/eV per cell


| no. | total moment (μB per formula unit) |
| --- | --- |
| 1 | 0.00 |
| 2 | 0.00 |
| 3 | 0.00 |
| 4 | 0.00 |